This record from Alexandria describes a geometry-optimized Na8Tl2Pt structure. The functional is PBE.

Structure (CIF):
```
data_Na8Tl2Pt
_chemical_formula_sum 'Na16 Tl4 Pt2'
_cell_length_a 19.336
_cell_length_b 5.190
_cell_length_c 6.866
_cell_angle_alpha 90.00
_cell_angle_beta 109.13
_cell_angle_gamma 90.00
_symmetry_space_group_name_H-M 'C 1 2/m 1'
_symmetry_Int_Tables_number 12
loop_
_symmetry_equiv_pos_as_xyz
'x,y,z'
'-x,-y,-z'
'-x,y,-z'
'x,-y,z'
'x+1/2,y+1/2,z'
'-x+1/2,-y+1/2,-z'
'-x+1/2,y+1/2,-z'
'x+1/2,-y+1/2,z'
loop_
_atom_site_label
_atom_site_type_symbol
_atom_site_fract_x
_atom_site_fract_y
_atom_site_fract_z
_atom_site_occupancy
Na1 Na 0.017 0.000 0.241 1
Na2 Na 0.097 0.500 0.759 1
Na3 Na 0.137 0.500 0.317 1
Na4 Na 0.206 0.000 0.121 1
Tl1 Tl 0.190 0.000 0.621 1
Pt1 Pt 0.000 0.500 0.000 1
```

Values from the calculation:
* energy of formation from the pure elements: -0.06 eV/atom

---

This record from Alexandria describes a geometry-optimized Y2BeBiBr structure. The functional is PBE.

Structure (CIF):
```
data_Y2BeBiBr
_chemical_formula_sum 'Y2 Be1 Bi1 Br1'
_cell_length_a 5.965
_cell_length_b 5.965
_cell_length_c 4.463
_cell_angle_alpha 90.00
_cell_angle_beta 90.00
_cell_angle_gamma 90.00
_symmetry_space_group_name_H-M 'P 4/m m m'
_symmetry_Int_Tables_number 123
_symmetry_space_group_name_Hall '-P 4 2'
loop_
_atom_site_label
_atom_site_type_symbol
_atom_site_fract_x
_atom_site_fract_y
_atom_site_fract_z
_atom_site_occupancy
Y1 Y 0.000 0.500 0.000 1
Be1 Be 0.000 0.000 0.500 1
Bi1 Bi 0.000 0.000 0.000 1
Br1 Br 0.500 0.500 0.500 1
```

Values from the calculation:
* E_form (uncorrected): 1.44 eV/f.u.

---

This record from Alexandria describes a geometry-optimized BaAcBS4 structure. The functional is PBE.

Structure (CIF):
```
data_BaAcBS4
_chemical_formula_sum 'Ba2 Ac2 B2 S8'
_cell_length_a 6.299
_cell_length_b 6.534
_cell_length_c 8.773
_cell_angle_alpha 90.00
_cell_angle_beta 107.85
_cell_angle_gamma 90.00
_symmetry_space_group_name_H-M 'P 1 21/m 1'
_symmetry_Int_Tables_number 11
loop_
_symmetry_equiv_pos_as_xyz
'x,y,z'
'-x,-y,-z'
'-x,y+1/2,-z'
'x,-y+1/2,z'
loop_
_atom_site_label
_atom_site_type_symbol
_atom_site_fract_x
_atom_site_fract_y
_atom_site_fract_z
_atom_site_occupancy
Ba1 Ba 0.207 0.250 0.426 1
Ac1 Ac 0.279 0.250 0.956 1
B1 B 0.304 0.750 0.206 1
S1 S 0.105 0.750 0.339 1
S2 S 0.158 0.750 0.969 1
S3 S 0.494 0.511 0.253 1
```

Values from the calculation:
* E_form (uncorrected): -11.13 eV/f.u.

---

This record from Alexandria describes a geometry-optimized TlAsPb2 structure. The functional is PBE.

Structure (CIF):
```
data_TlAsPb2
_chemical_formula_sum 'Tl3 As3 Pb6'
_cell_length_a 4.0662
_cell_length_b 4.0662
_cell_length_c 25.7967
_cell_angle_alpha 90.00
_cell_angle_beta 90.00
_cell_angle_gamma 120.00
_symmetry_space_group_name_H-M 'R 3 m'
_symmetry_Int_Tables_number 160
_symmetry_space_group_name_Hall 'R 3 -2"'
loop_
_atom_site_label
_atom_site_type_symbol
_atom_site_fract_x
_atom_site_fract_y
_atom_site_fract_z
_atom_site_occupancy
Tl1 Tl 0.0000 0.0000 0.0000 1
As1 As 0.0000 0.0000 0.7381 1
Pb1 Pb 0.0000 0.0000 0.2351 1
Pb2 Pb 0.0000 0.0000 0.4687 1
```

Values from the calculation:
* polymorph energy (0 for the lowest one): 0.0743 eV per atom
* energy of formation from the pure elements: 0.10 eV/atom

---

This record from Alexandria describes a geometry-optimized ErBi3 structure. The functional is PBE.

Structure (CIF):
```
data_ErBi3
_chemical_formula_sum 'Er1 Bi3'
_cell_length_a 4.527
_cell_length_b 6.306
_cell_length_c 4.666
_cell_angle_alpha 90.00
_cell_angle_beta 90.00
_cell_angle_gamma 90.00
_symmetry_space_group_name_H-M 'P m m 2'
_symmetry_Int_Tables_number 25
loop_
_symmetry_equiv_pos_as_xyz
'x,y,z'
'-x,-y,z'
'-x,y,z'
'x,-y,z'
loop_
_atom_site_label
_atom_site_type_symbol
_atom_site_fract_x
_atom_site_fract_y
_atom_site_fract_z
_atom_site_occupancy
Er1 Er 0.000 0.000 0.000 1
Bi1 Bi 0.000 0.500 0.848 1
Bi2 Bi 0.500 0.000 0.486 1
Bi3 Bi 0.500 0.500 0.292 1
```

Values from the calculation:
* energy of formation from the pure elements: -0.33 eV/atom

---

This record from Alexandria describes a geometry-optimized SrZn4Ru structure. The functional is PBE.

Structure (CIF):
```
data_SrZn4Ru
_chemical_formula_sum 'Sr4 Zn16 Ru4'
_cell_length_a 7.458
_cell_length_b 7.458
_cell_length_c 7.458
_cell_angle_alpha 90.00
_cell_angle_beta 90.00
_cell_angle_gamma 90.00
_symmetry_space_group_name_H-M 'F -4 3 m'
_symmetry_Int_Tables_number 216
_symmetry_space_group_name_Hall 'F -4 2 3'
loop_
_atom_site_label
_atom_site_type_symbol
_atom_site_fract_x
_atom_site_fract_y
_atom_site_fract_z
_atom_site_occupancy
Sr1 Sr 0.000 0.000 0.000 1
Zn1 Zn 0.123 0.123 0.623 1
Ru1 Ru 0.250 0.250 0.250 1
```

Values from the calculation:
* energy of formation from the pure elements: 0.04 eV/atom

---

| no. | uncorrected energy (eV per formula unit) |
| --- | --- |
| 1 | -22.0 |
| 2 | -20.8 |
| 3 | -40.3 |
| 4 | -14.0 |
| 5 | -17.5 |
| 6 | -15.8 |